Material: IrPb2Au
Method: DFT, PBEsol
State: optimized geometry

```
data_IrPb2Au
_chemical_formula_sum 'Ir2 Pb4 Au2'
_cell_length_a 5.018
_cell_length_b 5.018
_cell_length_c 6.540
_cell_angle_alpha 90.00
_cell_angle_beta 90.00
_cell_angle_gamma 90.00
_symmetry_space_group_name_H-M 'I 4/m m m'
_symmetry_Int_Tables_number 139
_symmetry_space_group_name_Hall '-I 4 2'
loop_
_atom_site_label
_atom_site_fract_x
_atom_site_fract_y
_atom_site_fract_z
Ir1 0.000 0.000 0.000
Pb1 0.000 0.500 0.250
Au1 0.000 0.000 0.500
```

Results
- Calculated total energy: -40.31 eV/cell
- DFT formation energy: 9.2 kcal/mol of atoms